The following is a DFT calculation (GGA-PBE) of crystalline Zr3ScIr4 at its relaxed geometry.

Cell: 3.337 4.625 9.253 Å, 90.00 90.00 90.00°
Fractional positions:
Zr: 0.000 0.000 0.000
Zr: 0.000 0.500 0.253
Zr: 0.000 0.500 0.747
Sc: 0.000 0.000 0.500
Ir: 0.500 0.000 0.251
Ir: 0.500 0.000 0.749
Ir: 0.500 0.500 0.000
Ir: 0.500 0.500 0.500

Properties
Magnetization: 0.000 μB per formula unit
Volume: 17.9 Å³/atom
Crystal system: orthorhombic
Formation energy from the elements: -0.837 eV/atom
Density of states at the Fermi level: 5.05 states/eV/cell